one.
Crystalline MoAsPCl2 at its relaxed geometry. Source: the Alexandria database, functional GGA-PBE.

POSCAR file:
```
MoAsPCl2
1.0
-1.809 4.137 1.579
-2.326 0.564 -4.141
-3.881 -2.404 1.852
Cl Mo P As
2 1 1 1
Direct
0.500 0.000 0.000
0.000 0.500 0.000
0.000 0.000 0.000
0.000 0.000 0.500
0.500 0.500 0.500
```

Output
The crystal system is tetragonal. The symmetry is P4/mmm (123). Its volume is 113 Å³ per cell.

---

two.
Crystalline MoAsPCl2 at its relaxed geometry. Source: the Alexandria database, functional GGA-PBE.

POSCAR file:
```
MoAsPCl2
1.0
4.832 0.000 0.000
0.000 4.832 0.000
0.000 0.000 5.060
P As Mo Cl
1 1 1 2
Direct
0.000 0.000 0.500
0.000 0.000 0.000
0.500 0.500 0.500
0.500 0.000 0.000
0.000 0.500 0.000
```

Output
The crystal system is tetragonal. The symmetry is P4/mmm (123). Its volume is 118 Å³ per cell.

---

From most stable to least stable, the computed energies give one, two.

---

one.
Crystalline MoAsP2Cl at its relaxed geometry. Source: the Alexandria database, functional GGA-PBE.

POSCAR file:
```
MoAsP2Cl
1.0
-2.089 1.829 -3.874
-1.998 -4.229 -0.919
-3.724 1.200 2.575
Cl Mo P As
1 1 2 1
Direct
0.000 0.000 0.500
0.500 0.500 0.500
0.500 0.000 0.000
0.000 0.500 0.000
0.000 0.000 0.000
```

Output
The crystal system is tetragonal. The symmetry is P4/mmm (123). Its volume is 106 Å³ per cell.

---

two.
Crystalline MoAsP2Cl at its relaxed geometry. Source: the Alexandria database, functional GGA-PBE.

POSCAR file:
```
MoAsP2Cl
1.0
4.753 0.000 0.000
0.000 4.753 0.000
0.000 0.000 4.771
Cl Mo P As
1 1 2 1
Direct
0.000 0.000 0.500
0.000 0.000 0.000
0.000 0.500 0.000
0.500 0.000 0.000
0.500 0.500 0.500
```

Output
The crystal system is tetragonal. The symmetry is P4/mmm (123). Its volume is 108 Å³ per cell.

---

From most stable to least stable, the computed energies give two, one.

---

one.
Crystalline MoAsS2Cl at its relaxed geometry. Source: the Alexandria database, functional GGA-PBE.

POSCAR file:
```
MoAsS2Cl
1.0
-3.894 -1.855 -1.922
1.943 -4.299 0.212
-1.866 -0.627 4.386
As Cl Mo S
1 1 1 2
Direct
0.500 0.500 0.500
0.000 0.000 0.500
0.000 0.000 0.000
0.000 0.500 0.000
0.500 0.000 0.000
```

Output
The crystal system is tetragonal. The symmetry is P4/mmm (123). Its volume is 107 Å³ per cell.

---

two.
Crystalline MoAsS2Cl at its relaxed geometry. Source: the Alexandria database, functional GGA-PBE.

POSCAR file:
```
MoAsS2Cl
1.0
-2.747 2.445 -3.193
-3.599 -3.221 0.630
-1.736 2.625 3.504
S As Mo Cl
2 1 1 1
Direct
0.500 0.000 0.000
0.000 0.500 0.000
0.000 0.000 0.000
0.500 0.500 0.500
0.000 0.000 0.500
```

Output
The crystal system is tetragonal. The symmetry is P4/mmm (123). Its volume is 112 Å³ per cell.

---

From most stable to least stable, the computed energies give one, two.

---

one.
Crystalline MoAsSCl2 at its relaxed geometry. Source: the Alexandria database, functional GGA-PBE.

POSCAR file:
```
MoAsSCl2
1.0
4.912 0.000 0.000
0.000 4.912 0.000
0.000 0.000 5.030
As S Cl Mo
1 1 2 1
Direct
0.000 0.000 0.000
0.000 0.000 0.500
0.000 0.500 0.000
0.500 0.000 0.000
0.500 0.500 0.500
```

Output
The crystal system is tetragonal. The symmetry is P4/mmm (123). Its volume is 121 Å³ per cell.

---

two.
Crystalline MoAsSCl2 at its relaxed geometry. Source: the Alexandria database, functional GGA-PBE.

POSCAR file:
```
MoAsSCl2
1.0
-3.439 -2.144 -2.744
3.176 -0.349 -3.708
1.381 -4.238 1.582
As S Cl Mo
1 1 2 1
Direct
0.500 0.500 0.500
0.000 0.000 0.500
0.000 0.500 0.000
0.500 0.000 0.000
0.000 0.000 0.000
```

Output
The crystal system is tetragonal. The symmetry is P4/mmm (123). Its volume is 113 Å³ per cell.

---

From most stable to least stable, the computed energies give two, one.

---

one.
Crystalline MoAsSe2Cl at its relaxed geometry. Source: the Alexandria database, functional GGA-PBE.

POSCAR file:
```
MoAsSe2Cl
1.0
4.982 0.000 0.000
0.000 4.982 0.000
0.000 0.000 4.740
Se Mo Cl As
2 1 1 1
Direct
0.000 0.500 0.000
0.500 0.000 0.000
0.500 0.500 0.500
0.000 0.000 0.000
0.000 0.000 0.500
```

Output
The crystal system is tetragonal. The symmetry is P4/mmm (123). Its volume is 118 Å³ per cell.

---

two.
Crystalline MoAsSe2Cl at its relaxed geometry. Source: the Alexandria database, functional GGA-PBE.

POSCAR file:
```
MoAsSe2Cl
1.0
-3.535 -3.222 -0.763
1.070 -0.055 -4.723
3.271 -3.775 0.785
Cl Se As Mo
1 2 1 1
Direct
0.500 0.500 0.500
0.000 0.500 0.000
0.500 0.000 0.000
0.000 0.000 0.500
0.000 0.000 0.000
```

Output
The crystal system is tetragonal. The symmetry is P4/mmm (123). Its volume is 119 Å³ per cell.

---

From most stable to least stable, the computed energies give two, one.

---

one.
Crystalline As2NCl at its relaxed geometry. Source: the Alexandria database, functional GGA-PBE.

POSCAR file:
```
As2NCl
1.0
-2.967 -4.070 -0.523
3.605 -2.278 -2.731
2.800 -5.672 3.733
N Cl As
2 2 4
Direct
0.250 0.750 0.500
0.500 0.500 0.000
0.750 0.250 0.500
0.000 0.000 0.000
0.271 0.625 0.250
0.479 0.125 0.250
0.875 0.729 0.750
0.375 0.521 0.750
```

Output
The crystal system is tetragonal. The symmetry is I-42d (122). Its volume is 164 Å³ per cell.

---

two.
Crystalline As2NCl at its relaxed geometry. Source: the Alexandria database, functional GGA-PBE.

POSCAR file:
```
As2NCl
1.0
0.000 3.141 3.141
3.141 0.000 3.141
3.141 3.141 0.000
As Cl N
2 1 1
Direct
0.750 0.750 0.750
0.250 0.250 0.250
0.500 0.500 0.500
0.000 0.000 0.000
```

Output
The crystal system is cubic. The symmetry is Fm-3m (225). Its volume is 62 Å³ per cell.

---

From most stable to least stable, the computed energies give one, two.

---

one.
Crystalline As3NCl at its relaxed geometry. Source: the Alexandria database, functional GGA-PBE.

POSCAR file:
```
As3NCl
1.0
4.483 0.000 0.000
0.000 4.483 0.000
0.000 0.000 4.483
As Cl N
3 1 1
Direct
0.500 0.000 0.000
0.000 0.500 0.000
0.000 0.000 0.500
0.500 0.500 0.500
0.000 0.000 0.000
```

Output
The crystal system is cubic. The symmetry is Pm-3m (221). Its volume is 90 Å³ per cell.

---

two.
Crystalline As3NCl at its relaxed geometry. Source: the Alexandria database, functional GGA-PBE.

POSCAR file:
```
As3NCl
1.0
4.817 0.000 0.000
0.000 4.817 0.000
0.000 0.000 4.817
As N Cl
3 1 1
Direct
0.000 0.000 0.500
0.000 0.500 0.000
0.500 0.000 0.000
0.500 0.500 0.500
0.000 0.000 0.000
```

Output
The crystal system is cubic. The symmetry is Pm-3m (221). Its volume is 112 Å³ per cell.

---

From most stable to least stable, the computed energies give one, two.

---

one.
Crystalline AsP2NCl at its relaxed geometry. Source: the Alexandria database, functional GGA-PBE.

POSCAR file:
```
AsP2NCl
1.0
4.279 0.000 0.000
0.000 4.279 0.000
0.000 0.000 4.132
N As P Cl
1 1 2 1
Direct
0.000 0.000 0.000
0.500 0.500 0.500
0.500 0.000 0.000
0.000 0.500 0.000
0.000 0.000 0.500
```

Output
The crystal system is tetragonal. The symmetry is P4/mmm (123). Its volume is 76 Å³ per cell.

---

two.
Crystalline AsP2NCl at its relaxed geometry. Source: the Alexandria database, functional GGA-PBE.

POSCAR file:
```
AsP2NCl
1.0
-2.325 -1.220 3.991
4.140 -0.100 2.381
-0.578 5.088 1.219
Cl N P As
1 1 2 1
Direct
0.000 0.000 0.500
0.500 0.500 0.500
0.500 0.000 0.000
0.000 0.500 0.000
0.000 0.000 0.000
```

Output
The crystal system is tetragonal. The symmetry is P4/mmm (123). Its volume is 120 Å³ per cell.

---

From most stable to least stable, the computed energies give one, two.